A geometry-optimized AlRe2Os structure. Source: the Alexandria database, functional PBE-GGA.

Cell lengths 3.0346, 4.2846, 4.4808 Å; angles 90.00, 90.00, 90.00 degrees
Space group Pmmm (No. 47)
Unique sites:
1 Al 0.0000 0.0000 0.0000 (multiplicity 1)
2 Re 0.0000 0.5000 0.5000 (multiplicity 1)
3 Re 0.5000 0.0000 0.5000 (multiplicity 1)
4 Os 0.5000 0.5000 0.0000 (multiplicity 1)

Results
E_form	0.01	eV per atom



A geometry-optimized LaTbSmGd structure. Source: the Alexandria database, functional PBE-GGA.

Cell lengths 8.1763, 8.1763, 8.1763 Å; angles 90.00, 90.00, 90.00 degrees
Space group F-43m (No. 216)
Unique sites:
1 La 0.0000 0.0000 0.0000 (multiplicity 4)
2 Tb 0.2500 0.2500 0.7500 (multiplicity 4)
3 Sm 0.0000 0.0000 0.5000 (multiplicity 4)
4 Gd 0.2500 0.2500 0.2500 (multiplicity 4)

Results
E_form	0.11	eV per atom



A geometry-optimized CdPt structure. Source: the Alexandria database, functional PBE-GGA.

Cell lengths 2.9620, 4.8114, 10.1779 Å; angles 90.00, 90.00, 90.00 degrees
Space group Imma (No. 74)
Unique sites:
1 Cd 0.0000 0.2500 0.1082 (multiplicity 4)
2 Pt 0.0000 0.2500 0.6350 (multiplicity 4)

Results
E_form	-0.22	eV per atom



A geometry-optimized Tb8Y3 structure. Source: the Alexandria database, functional PBE-GGA.

Cell lengths 9.5897, 9.5897, 13.7169 Å; angles 90.00, 90.00, 120.00 degrees
Space group R-3 (No. 148, hexagonal axes)
Unique sites:
1 Tb 0.0000 0.0000 0.1119 (multiplicity 6)
2 Tb 0.0396 0.2301 0.6129 (multiplicity 18)
3 Y 0.0000 0.5000 0.5000 (multiplicity 9)

Results
E_form	0.56	eV per atom



A geometry-optimized Pm2AlGe3Pt4 structure. Source: the Alexandria database, functional PBE-GGA.

Cell lengths 4.3334, 4.3334, 10.2027 Å; angles 90.00, 90.00, 90.00 degrees
Space group P-4m2 (No. 115)
Unique sites:
1 Pm 0.0000 0.5000 0.2489 (multiplicity 2)
2 Al 0.5000 0.5000 0.0000 (multiplicity 1)
3 Ge 0.0000 0.0000 0.0000 (multiplicity 1)
4 Ge 0.0000 0.5000 0.6310 (multiplicity 2)
5 Pt 0.0000 0.0000 0.5000 (multiplicity 1)
6 Pt 0.0000 0.5000 0.8716 (multiplicity 2)
7 Pt 0.5000 0.5000 0.5000 (multiplicity 1)

Results
E_form	-1.00	eV per atom



A geometry-optimized TiNbAlRe2 structure. Source: the Alexandria database, functional PBE-GGA.

Cell lengths 4.5813, 4.5813, 4.5887 Å; angles 90.00, 90.00, 90.00 degrees
Space group P4/mmm (No. 123)
Unique sites:
1 Ti 0.0000 0.0000 0.0000 (multiplicity 1)
2 Nb 0.0000 0.0000 0.5000 (multiplicity 1)
3 Al 0.5000 0.5000 0.5000 (multiplicity 1)
4 Re 0.0000 0.5000 0.0000 (multiplicity 2)

Results
E_form	1.47	eV per atom



A geometry-optimized Pr2SmDy7 structure. Source: the Alexandria database, functional PBE-GGA.

Cell lengths 6.1927, 7.1681, 8.0174 Å; angles 77.01, 75.10, 73.49 degrees
Space group P-1 (No. 2)
Unique sites:
1 Pr 0.2021 0.2979 0.1002 (multiplicity 2)
2 Sm 0.0000 0.5000 0.5000 (multiplicity 1)
3 Dy 0.0000 0.0000 0.5000 (multiplicity 1)
4 Dy 0.1996 0.8005 0.1013 (multiplicity 2)
5 Dy 0.3998 0.1001 0.6975 (multiplicity 2)
6 Dy 0.3997 0.6009 0.6983 (multiplicity 2)

Results
E_form	0.02	eV per atom



A geometry-optimized CoBi structure. Source: the Alexandria database, functional PBE-GGA.

Cell lengths 5.3884, 5.3884, 5.3884 Å; angles 90.00, 90.00, 90.00 degrees
Space group Fm-3m (No. 225)
Unique sites:
1 Co 0.0000 0.0000 0.0000 (multiplicity 4)
2 Bi 0.0000 0.0000 0.5000 (multiplicity 4)

Results
E_form	0.54	eV per atom



Number 1: calculated total energy -39.8 eV per cell, M_tot 0.0 μB per cell, DOS at the Fermi energy 0.565 states/eV/atom. Number 2: calculated total energy -111.6 eV per cell, M_tot 33.0 μB per cell, DOS at the Fermi energy 2.128 states/eV/atom. Number 3: calculated total energy -29.6 eV per cell, M_tot 0.0 μB per cell, DOS at the Fermi energy 0.396 states/eV/atom. Number 4: calculated total energy -150.8 eV per cell, M_tot 0.0 μB per cell, DOS at the Fermi energy 1.186 states/eV/atom. Number 5: calculated total energy -61.2 eV per cell, M_tot 0.0 μB per cell, DOS at the Fermi energy 0.579 states/eV/atom. Number 6: calculated total energy -39.3 eV per cell, M_tot 0.0 μB per cell, DOS at the Fermi energy 0.761 states/eV/atom. Number 7: calculated total energy -46.3 eV per cell, M_tot 0.0 μB per cell, DOS at the Fermi energy 1.233 states/eV/atom. Number 8: calculated total energy -39.6 eV per cell, M_tot 1.6 μB per cell, DOS at the Fermi energy 1.210 states/eV/atom.